[1]
ZnSi | PBE-GGA | relaxed

Cell lengths 5.0893, 5.0893, 5.0893 Å; angles 30.60, 30.60, 30.60 degrees
With the nearest neighbours (Å) after each atom.
Sites, in units of the cell vectors:
1 Zn 0.5000 0.5000 0.5000  6 Zn 2.69, 6 Si 2.88
2 Si 0.0000 0.0000 0.0000  6 Si 2.69, 6 Zn 2.88

Values from the calculation:
Formation energy without anion corrections in meV/atom: 317.4

[2]
ZnSi | PBE-GGA | relaxed

Cell lengths 5.9442, 5.9442, 5.9442 Å; angles 150.22, 140.65, 50.12 degrees
With the nearest neighbours (Å) after each atom.
Sites, in units of the cell vectors:
1 Zn 0.1639 0.9139 0.7500  4 Si 2.64, 2 Zn 2.73
2 Si 0.5917 0.3417 0.7500  2 Si 2.50, 4 Zn 2.64
3 Si 0.4083 0.6583 0.2500  2 Si 2.50, 4 Zn 2.64
4 Zn 0.8361 0.0861 0.2500  4 Si 2.64, 2 Zn 2.73

Values from the calculation:
Formation energy without anion corrections in meV/atom: 319.0

[3]
Zn3Si | PBE-GGA | relaxed

Cell lengths 6.1431, 6.1431, 6.1431 Å; angles 155.95, 135.72, 51.01 degrees
With the nearest neighbours (Å) after each atom.
Sites, in units of the cell vectors:
1 Zn 0.2783 0.2783 0.0000  6 Zn 2.56-2.72, 2 Si 2.77
2 Si 0.5000 0.0000 0.5000  2 Si 2.56, 8 Zn 2.65-2.77
3 Zn 0.0000 0.5000 0.5000  2 Zn 2.56, 4 Si 2.65
4 Zn 0.7217 0.7217 0.0000  6 Zn 2.56-2.72, 2 Si 2.77

Values from the calculation:
Formation energy without anion corrections in meV/atom: 190.2

[4]
Zn3Si | PBE-GGA | relaxed

Cell lengths 2.6191, 2.6191, 10.4764 Å; angles 90.00, 90.00, 120.00 degrees
With the nearest neighbours (Å) after each atom.
Sites, in units of the cell vectors:
1 Si 0.0000 0.0000 0.0000  6 Si 2.62
2 Zn 0.0000 0.0000 0.5000  6 Zn 2.62
3 Zn 0.6667 0.3333 0.2541  6 Zn 2.62
4 Zn 0.6667 0.3333 0.7459  6 Zn 2.62

Values from the calculation:
Formation energy without anion corrections in meV/atom: 167.7

[5]
ZnSi | PBE-GGA | relaxed

Cell lengths 6.0278, 6.0278, 8.0290 Å; angles 50.64, 50.64, 25.60 degrees
With the nearest neighbours (Å) after each atom.
Sites, in units of the cell vectors:
1 Zn 0.8210 0.8210 0.7317  6 Zn 2.66-2.82, 3 Si 2.66-2.92
2 Zn 0.0557 0.0557 0.8891  4 Si 2.61, 6 Zn 2.67-2.83
3 Si 0.4227 0.4227 0.2524  5 Si 2.42-2.67, 2 Zn 2.61
4 Zn 0.2904 0.2904 0.0455  6 Zn 2.66-2.83, 3 Si 2.66-2.92
5 Si 0.6879 0.6879 0.5260  5 Si 2.42-2.67, 2 Zn 2.61
6 Si 0.5557 0.5557 0.3886  4 Si 2.42-2.67, 4 Zn 2.66

Values from the calculation:
Formation energy without anion corrections in meV/atom: 204.0

[6]
ZnSi3 | PBE-GGA | relaxed

Cell lengths 4.4040, 4.4040, 4.4040 Å; angles 60.00, 60.00, 60.00 degrees
With the nearest neighbours (Å) after each atom.
Sites, in units of the cell vectors:
1 Si 0.7500 0.7500 0.7500  8 Si 2.70
2 Si 0.0000 0.0000 0.0000  4 Zn 2.70, 4 Si 2.70
3 Si 0.5000 0.5000 0.5000  4 Si 2.70, 4 Zn 2.70
4 Zn 0.2500 0.2500 0.2500  8 Si 2.70

Values from the calculation:
Formation energy without anion corrections in meV/atom: 489.5
Polymorph energy (0 for the lowest one) in eV per atom: 0.227

[7]
Zn3Si | PBE-GGA | relaxed

Cell lengths 4.4862, 4.4862, 4.4862 Å; angles 60.00, 60.00, 60.00 degrees
With the nearest neighbours (Å) after each atom.
Sites, in units of the cell vectors:
1 Zn 0.7500 0.7500 0.7500  4 Si 2.75, 4 Zn 2.75
2 Zn 0.5000 0.5000 0.5000  8 Zn 2.75
3 Zn 0.2500 0.2500 0.2500  4 Si 2.75, 4 Zn 2.75
4 Si 0.0000 0.0000 0.0000  8 Zn 2.75

Values from the calculation:
Formation energy without anion corrections in meV/atom: 279.1

[8]
ZnSi2 | PBE-GGA | relaxed

Cell lengths 6.8578, 6.8578, 2.5116 Å; angles 90.00, 90.00, 90.00 degrees
With the nearest neighbours (Å) after each atom.
Sites, in units of the cell vectors:
1 Zn 0.5000 0.5000 0.0000  2 Zn 2.51, 6 Si 2.58-2.59
2 Si 0.2659 0.7341 0.5000  2 Si 2.51, 3 Zn 2.58-2.59
3 Zn 0.0000 0.0000 0.5000  2 Zn 2.51, 6 Si 2.58-2.59
4 Si 0.7341 0.2659 0.5000  2 Si 2.51, 3 Zn 2.58-2.59
5 Si 0.7659 0.7659 0.0000  2 Si 2.51, 3 Zn 2.58-2.59
6 Si 0.2341 0.2341 0.0000  2 Si 2.51, 3 Zn 2.58-2.59

Values from the calculation:
Formation energy without anion corrections in meV/atom: 730.5

[9]
Zn3Si | PBE-GGA | relaxed

Cell lengths 4.4834, 5.0607, 5.5555 Å; angles 90.00, 90.00, 90.00 degrees
With the nearest neighbours (Å) after each atom.
Sites, in units of the cell vectors:
1 Si 0.6410 0.0000 0.0000  8 Zn 2.63-2.81
2 Si 0.3590 0.5000 0.5000  8 Zn 2.63-2.81
3 Zn 0.1392 0.0000 0.2516  6 Zn 2.61-2.82, 2 Si 2.63-2.65
4 Zn 0.6336 0.0000 0.5000  4 Zn 2.61-2.65, 4 Si 2.78-2.81
5 Zn 0.8608 0.5000 0.2484  6 Zn 2.61-2.82, 2 Si 2.63-2.65
6 Zn 0.3664 0.5000 0.0000  4 Zn 2.61-2.65, 4 Si 2.78-2.81
7 Zn 0.1392 0.0000 0.7484  6 Zn 2.61-2.82, 2 Si 2.63-2.65
8 Zn 0.8608 0.5000 0.7516  6 Zn 2.61-2.82, 2 Si 2.63-2.65

Values from the calculation:
Formation energy without anion corrections in meV/atom: 222.0

[10]
Zn3Si23 | PBE-GGA | relaxed

Cell lengths 10.2189, 10.2189, 10.2189 Å; angles 90.00, 90.00, 90.00 degrees
With the nearest neighbours (Å) after each atom.
Sites, in units of the cell vectors:
1 Si 0.0000 0.8830 0.3083  4 Si 2.37-2.39
2 Si 0.0000 0.2500 0.5000  4 Si 2.38
3 Si 0.5000 0.8083 0.3830  4 Si 2.37-2.39
4 Si 0.8830 0.6917 0.0000  4 Si 2.37-2.39
5 Si 0.3162 0.6838 0.3162  4 Si 2.34-2.37
6 Si 0.8162 0.8162 0.8162  4 Si 2.34-2.37
7 Si 0.6170 0.5000 0.1917  4 Si 2.37-2.39
8 Si 0.3083 0.0000 0.8830  4 Si 2.37-2.39
9 Si 0.0000 0.1170 0.3083  4 Si 2.37-2.39
10 Si 0.0000 0.7500 0.5000  4 Si 2.38
11 Si 0.5000 0.1917 0.6170  4 Si 2.37-2.39
12 Si 0.8830 0.3083 0.0000  4 Si 2.37-2.39
13 Si 0.6838 0.6838 0.6838  4 Si 2.34-2.37
14 Zn 0.7500 0.0000 0.5000  20 Si 3.43-3.80
15 Si 0.5000 0.8083 0.6170  4 Si 2.37-2.39
16 Si 0.1838 0.8162 0.1838  4 Si 2.34-2.37
17 Si 0.3083 0.0000 0.1170  4 Si 2.37-2.39
18 Zn 0.5000 0.7500 0.0000  20 Si 3.43-3.80
19 Si 0.3162 0.3162 0.3162  4 Si 2.34-2.37
20 Si 0.1838 0.8162 0.8162  4 Si 2.34-2.37
21 Si 0.2500 0.5000 0.0000  4 Si 2.38
22 Si 0.1838 0.1838 0.1838  4 Si 2.34-2.37
23 Si 0.5000 0.0000 0.2500  4 Si 2.38
24 Si 0.6917 0.0000 0.8830  4 Si 2.37-2.39
25 Si 0.7500 0.5000 0.0000  4 Si 2.38
26 Si 0.8083 0.6170 0.5000  4 Si 2.37-2.39
27 Si 0.3830 0.5000 0.1917  4 Si 2.37-2.39
28 Si 0.5000 0.0000 0.7500  4 Si 2.38
29 Si 0.1170 0.6917 0.0000  4 Si 2.37-2.39
30 Si 0.8083 0.3830 0.5000  4 Si 2.37-2.39
31 Zn 0.0000 0.5000 0.7500  20 Si 3.43-3.80
32 Si 0.3830 0.5000 0.8083  4 Si 2.37-2.39
33 Zn 0.5000 0.2500 0.0000  20 Si 3.43-3.80
34 Si 0.8162 0.1838 0.1838  4 Si 2.34-2.37
35 Si 0.8162 0.1838 0.8162  4 Si 2.34-2.37
36 Si 0.3162 0.6838 0.6838  4 Si 2.34-2.37
37 Zn 0.0000 0.5000 0.2500  20 Si 3.43-3.80
38 Si 0.6838 0.3162 0.6838  4 Si 2.34-2.37
39 Si 0.1917 0.6170 0.5000  4 Si 2.37-2.39
40 Si 0.1917 0.3830 0.5000  4 Si 2.37-2.39
41 Si 0.0000 0.1170 0.6917  4 Si 2.37-2.39
42 Si 0.5000 0.1917 0.3830  4 Si 2.37-2.39
43 Si 0.6917 0.0000 0.1170  4 Si 2.37-2.39
44 Si 0.3162 0.3162 0.6838  4 Si 2.34-2.37
45 Si 0.6838 0.3162 0.3162  4 Si 2.34-2.37
46 Si 0.6838 0.6838 0.3162  4 Si 2.34-2.37
47 Si 0.6170 0.5000 0.8083  4 Si 2.37-2.39
48 Si 0.8162 0.8162 0.1838  4 Si 2.34-2.37
49 Si 0.1170 0.3083 0.0000  4 Si 2.37-2.39
50 Zn 0.2500 0.0000 0.5000  20 Si 3.43-3.80
51 Si 0.0000 0.8830 0.6917  4 Si 2.37-2.39
52 Si 0.1838 0.1838 0.8162  4 Si 2.34-2.37

Values from the calculation:
Formation energy without anion corrections in meV/atom: 122.9

[11]
Zn2Si | PBE-GGA | relaxed

Cell lengths 4.8024, 4.4820, 2.7277 Å; angles 77.48, 90.00, 122.39 degrees
With the nearest neighbours (Å) after each atom.
Sites, in units of the cell vectors:
1 Zn 0.6573 0.3147 0.0982  3 Si 2.54-2.72, 6 Zn 2.57-2.79
2 Si 0.0000 0.0000 0.0000  6 Zn 2.54-2.72, 2 Si 2.73
3 Zn 0.3427 0.6853 0.9018  3 Si 2.54-2.72, 6 Zn 2.57-2.79

Values from the calculation:
Formation energy without anion corrections in meV/atom: 232.5

[12]
ZnSi3 | PBE-GGA | relaxed

Cell lengths 2.6866, 2.6866, 9.4815 Å; angles 90.00, 90.00, 120.00 degrees
With the nearest neighbours (Å) after each atom.
Sites, in units of the cell vectors:
1 Si 0.6667 0.3333 0.2500  12 Si 2.69-2.77
2 Si 0.0000 0.0000 0.0077  9 Si 2.69-2.77, 3 Zn 2.89
3 Si 0.0000 0.0000 0.4923  9 Si 2.69-2.77, 3 Zn 2.89
4 Zn 0.6667 0.3333 0.7500  6 Zn 2.69, 6 Si 2.89

Values from the calculation:
Formation energy without anion corrections in meV/atom: 412.7
Polymorph energy (0 for the lowest one) in eV per atom: 0.150

[13]
ZnSi2 | PBE-GGA | relaxed

Cell lengths 3.7104, 3.7104, 9.0340 Å; angles 90.00, 90.00, 120.00 degrees
With the nearest neighbours (Å) after each atom.
Sites, in units of the cell vectors:
1 Si 0.3333 0.6667 0.4405  3 Si 2.40
2 Si 0.6667 0.3333 0.9405  3 Si 2.40
3 Zn 0.6667 0.3333 0.2500  8 Si 2.75-2.80
4 Si 0.6667 0.3333 0.5595  3 Si 2.40
5 Si 0.3333 0.6667 0.0595  3 Si 2.40
6 Zn 0.3333 0.6667 0.7500  8 Si 2.75-2.80

Values from the calculation:
Formation energy without anion corrections in meV/atom: 310.1

[14]
ZnSi3 | PBE-GGA | relaxed

Cell lengths 3.3070, 3.3070, 5.6284 Å; angles 90.00, 90.00, 90.00 degrees
With the nearest neighbours (Å) after each atom.
Sites, in units of the cell vectors:
1 Si 0.0000 0.0000 0.4758  5 Si 2.54-2.66, 4 Zn 2.80
2 Zn 0.5000 0.5000 0.7500  10 Si 2.80-2.81
3 Si 0.0000 0.0000 0.0242  5 Si 2.54-2.66, 4 Zn 2.80
4 Si 0.5000 0.5000 0.2500  8 Si 2.66, 2 Zn 2.81

Values from the calculation:
Formation energy without anion corrections in meV/atom: 445.9
Polymorph energy (0 for the lowest one) in eV per atom: 0.183

[15]
ZnSi | PBE-GGA | relaxed

Cell lengths 4.8948, 4.8948, 4.8948 Å; angles 90.00, 90.00, 90.00 degrees
With the nearest neighbours (Å) after each atom.
Sites, in units of the cell vectors:
1 Si 0.5000 0.5000 0.0000  4 Zn 2.45
2 Si 0.0000 0.5000 0.5000  4 Zn 2.45
3 Si 0.5000 0.0000 0.5000  4 Zn 2.45
4 Zn 0.5000 0.0000 0.0000  4 Si 2.45
5 Zn 0.0000 0.0000 0.5000  4 Si 2.45
6 Zn 0.0000 0.5000 0.0000  4 Si 2.45

Values from the calculation:
Formation energy without anion corrections in meV/atom: 571.4

[16]
ZnSi | PBE-GGA | relaxed

Cell lengths 7.0091, 7.0091, 2.5780 Å; angles 90.00, 90.00, 120.00 degrees
With the nearest neighbours (Å) after each atom.
Sites, in units of the cell vectors:
1 Zn 0.0000 0.3511 0.0000  5 Si 2.46-2.62, 2 Zn 2.58
2 Si 0.0000 0.0000 0.0000  3 Zn 2.46, 2 Si 2.58
3 Zn 0.6489 0.6489 0.0000  5 Si 2.46-2.62, 2 Zn 2.58
4 Zn 0.3511 0.0000 0.0000  5 Si 2.46-2.62, 2 Zn 2.58
5 Si 0.3333 0.6667 0.5000  2 Si 2.58, 6 Zn 2.62
6 Si 0.6667 0.3333 0.5000  2 Si 2.58, 6 Zn 2.62

Values from the calculation:
Formation energy without anion corrections in meV/atom: 301.2

[17]
ZnSi | PBE-GGA | relaxed

Cell lengths 2.6786, 2.6072, 10.0864 Å; angles 96.44, 93.76, 117.36 degrees
With the nearest neighbours (Å) after each atom.
Sites, in units of the cell vectors:
1 Si 0.4369 0.9058 0.3751  7 Si 2.48-2.75, 1 Zn 2.62
2 Si 0.5631 0.0942 0.6249  7 Si 2.48-2.75, 1 Zn 2.62
3 Zn 0.2380 0.9185 0.1181  9 Zn 2.61-2.82, 1 Si 2.62
4 Zn 0.7620 0.0815 0.8819  9 Zn 2.61-2.82, 1 Si 2.62

Values from the calculation:
Formation energy without anion corrections in meV/atom: 230.1

[18]
Zn2Si | PBE-GGA | relaxed

Cell lengths 6.5567, 6.5567, 4.0092 Å; angles 90.00, 90.00, 147.03 degrees
With the nearest neighbours (Å) after each atom.
Sites, in units of the cell vectors:
1 Si 0.1006 0.8994 0.2500  10 Zn 2.67-2.85
2 Zn 0.2407 0.7593 0.7500  4 Si 2.67-2.73, 6 Zn 2.75-2.83
3 Zn 0.5710 0.4290 0.7500  4 Zn 2.68-2.83, 6 Si 2.76-2.85
4 Si 0.8994 0.1006 0.7500  10 Zn 2.67-2.85
5 Zn 0.7593 0.2407 0.2500  4 Si 2.67-2.73, 6 Zn 2.75-2.83
6 Zn 0.4290 0.5710 0.2500  4 Zn 2.68-2.83, 6 Si 2.76-2.85

Values from the calculation:
Formation energy without anion corrections in meV/atom: 250.3

[19]
ZnSi | PBE-GGA | relaxed

Cell lengths 2.7927, 2.7927, 3.9804 Å; angles 90.00, 90.00, 90.00 degrees
With the nearest neighbours (Å) after each atom.
Sites, in units of the cell vectors:
1 Si 0.0000 0.0000 0.0000  4 Si 2.79, 8 Zn 2.80
2 Zn 0.5000 0.5000 0.5000  4 Zn 2.79, 8 Si 2.80

Values from the calculation:
Formation energy without anion corrections in meV/atom: 353.1

[20]
ZnSi2 | PBE-GGA | relaxed

Cell lengths 5.1334, 5.1334, 5.1334 Å; angles 60.00, 60.00, 60.00 degrees
With the nearest neighbours (Å) after each atom.
Sites, in units of the cell vectors:
1 Zn 0.5000 0.5000 0.5000  12 Si 3.01, 4 Zn 3.14
2 Si 0.6250 0.1250 0.1250  6 Si 2.57
3 Zn 0.7500 0.7500 0.7500  12 Si 3.01, 4 Zn 3.14
4 Si 0.1250 0.6250 0.1250  6 Si 2.57
5 Si 0.1250 0.1250 0.1250  6 Si 2.57
6 Si 0.1250 0.1250 0.6250  6 Si 2.57

Values from the calculation:
Formation energy without anion corrections in meV/atom: 462.0

| no. | calculated density (g cm⁻³) |
| --- | --- |
| 1 | 5.1 |
| 2 | 4.7 |
| 3 | 5.7 |
| 4 | 6.0 |
| 5 | 4.9 |
| 6 | 4.1 |
| 7 | 5.8 |
| 8 | 3.4 |
| 9 | 5.9 |
| 10 | 2.6 |
| 11 | 5.5 |
| 12 | 4.2 |
| 13 | 3.7 |
| 14 | 4.0 |
| 15 | 4.0 |
| 16 | 4.2 |
| 17 | 5.0 |
| 18 | 5.6 |
| 19 | 5.0 |
| 20 | 4.2 |